The following is a DFT calculation (GGA-PBE) of a geometry-optimized Ho2Tm3Pt2 structure.

Cell: 12.126 3.719 8.947 Å, 90.00 116.39 90.00°
Space group C2/m (No. 12)
Asymmetric unit:
Ho1 0.163 0.000 0.311
Tm1 0.000 0.500 0.500
Tm2 0.115 0.500 0.935
Pt1 0.173 0.000 0.738

Computed properties:
**Formation energy from the elements**: -0.82 eV per atom
**DFT total energy**: -5.773 eV per atom
**Mass density**: 11.3 g/cm³
**Total magnetization**: 0.000 μB per atom


The following is a DFT calculation (GGA-PBE) of a geometry-optimized Sm5GeSe4 structure.

Cell: 9.397 9.397 5.912 Å, 90.00 90.00 90.00°
Space group I4/m (No. 87)
Asymmetric unit:
Sm1 0.000 0.000 0.000
Sm2 0.097 0.707 0.500
Ge1 0.000 0.000 0.500
Se1 0.099 0.699 0.000

Computed properties:
**DFT total energy**: -5.911 eV per atom
**Raw formation energy**: -1.696 eV per atom
**Mass density**: 7.3 g/cm³
**Total magnetization**: 0.000 μB per atom


Repeat the first record exactly.
The following is a DFT calculation (GGA-PBE) of a geometry-optimized Ho2Tm3Pt2 structure.

Cell: 12.126 3.719 8.947 Å, 90.00 116.39 90.00°
Space group C2/m (No. 12)
Asymmetric unit:
Ho1 0.163 0.000 0.311
Tm1 0.000 0.500 0.500
Tm2 0.115 0.500 0.935
Pt1 0.173 0.000 0.738

Computed properties:
**Formation energy from the elements**: -0.82 eV per atom
**DFT total energy**: -5.773 eV per atom
**Mass density**: 11.3 g/cm³
**Total magnetization**: 0.000 μB per atom


Look up the total magnetization of the first one.
0.000 μB per atom